1.
A geometry-optimized Pm5TmBi4 structure, computed with PBE-GGA.

```
Pm5TmBi4
1.0
9.670 -2.229 0.000
9.670 2.229 0.000
-2.346 0.000 8.359
Pm Tm Bi
5 1 4
Direct
0.000 0.000 0.000 Pm
0.322 0.322 0.148 Pm
0.335 0.335 0.683 Pm
0.665 0.665 0.317 Pm
0.678 0.678 0.852 Pm
0.000 0.000 0.500 Tm
0.166 0.166 0.582 Bi
0.492 0.492 0.250 Bi
0.508 0.508 0.750 Bi
0.834 0.834 0.418 Bi
```

N(E_F), states/eV per cell: 6.80
Formation energy, eV per atom: -0.53

2.
A geometry-optimized PmTmBi structure, computed with PBE-GGA.

```
PmTmBi
1.0
-2.035 2.035 5.477
2.035 -2.035 5.477
2.035 2.035 -5.477
Pm Tm Bi
1 1 1
Direct
0.000 0.000 0.000 Pm
0.689 0.689 0.000 Tm
0.335 0.335 0.000 Bi
```

N(E_F), states/eV per cell: 2.47
Formation energy, eV per atom: -0.46

3.
A geometry-optimized Pm3Tm4Bi8 structure, computed with PBE-GGA.

```
Pm3Tm4Bi8
1.0
6.338 -6.346 0.000
6.338 6.346 0.000
-6.282 0.000 6.348
Pm Tm Bi
3 4 8
Direct
0.000 0.000 0.000 Pm
0.000 0.500 0.000 Pm
0.500 0.000 0.000 Pm
0.000 0.500 0.500 Tm
0.500 0.000 0.500 Tm
0.500 0.500 0.000 Tm
0.500 0.500 0.500 Tm
0.248 0.752 0.500 Bi
0.252 0.252 0.508 Bi
0.253 0.253 0.998 Bi
0.253 0.747 0.000 Bi
0.747 0.253 0.000 Bi
0.747 0.747 0.002 Bi
0.748 0.748 0.492 Bi
0.752 0.248 0.500 Bi
```

N(E_F), states/eV per cell: 8.14
Formation energy, eV per atom: -0.65

4.
A geometry-optimized Pm3TmBi2 structure, computed with PBE-GGA.

```
Pm3TmBi2
1.0
-3.576 7.386 4.022
3.576 -7.386 4.022
3.576 7.386 -4.022
Pm Tm Bi
6 2 4
Direct
0.049 0.750 0.299 Pm
0.250 0.250 0.000 Pm
0.451 0.750 0.701 Pm
0.549 0.250 0.299 Pm
0.750 0.750 0.000 Pm
0.951 0.250 0.701 Pm
0.000 0.500 0.500 Tm
0.500 0.000 0.500 Tm
0.147 0.168 0.315 Bi
0.353 0.668 0.021 Bi
0.647 0.332 0.979 Bi
0.853 0.832 0.685 Bi
```

N(E_F), states/eV per cell: 15.36
Formation energy, eV per atom: -0.39